The following is a PBE calculation of a relaxed structure of K4Dy3ErTe8, from Alexandria via LeMat-Bulk.

Cell lengths 8.9743, 8.9743, 9.7397 Å; angles 117.48, 117.48, 60.00 degrees
With the nearest neighbours (Å) after each atom.
Positions (direct):
K1 0.0000 0.0000 0.0000  6 Te 3.54-3.55
K2 0.0000 0.5000 0.0000  6 Te 3.53
K3 0.5000 0.0000 0.0000  6 Te 3.53
K4 0.5000 0.5000 0.0000  6 Te 3.53
Dy1 0.0000 0.0000 0.5000  6 Te 3.11
Dy2 0.0000 0.5000 0.5000  6 Te 3.11
Dy3 0.5000 0.0000 0.5000  6 Te 3.11
Er1 0.5000 0.5000 0.5000  6 Te 3.10
Te1 0.2364 0.2364 0.7087  3 Dy 3.11
Te2 0.2377 0.7353 0.7079  1 Er 3.10, 2 Dy 3.11
Te3 0.2648 0.2648 0.2921  1 Er 3.10, 2 Dy 3.11
Te4 0.2647 0.7623 0.2921  1 Er 3.10, 2 Dy 3.11
Te5 0.7353 0.2377 0.7079  1 Er 3.10, 2 Dy 3.11
Te6 0.7352 0.7352 0.7079  1 Er 3.10, 2 Dy 3.11
Te7 0.7623 0.2647 0.2921  1 Er 3.10, 2 Dy 3.11
Te8 0.7636 0.7636 0.2913  3 Dy 3.11

Values from the calculation:
**Calculated total energy**: -4.3864 eV per atom
**Total magnetization**: 0.000 μB/cell
**V**: 574.8 Å³ per cell